Entry 1:
Material: CaNdSiHg
Method: DFT, PBE
State: optimized geometry Values from VASP.

Results
Raw formation energy (meV/atom): -446
Symmetry: F-43m (216)
Crystal system: cubic

Structure (Quantum ESPRESSO input):
```
&SYSTEM
  ibrav = 0, nat = 4, ntyp = 4
/
ATOMIC_SPECIES
Ca 40.08 Ca.upf
Nd 144.24 Nd.upf
Si 28.09 Si.upf
Hg 200.59 Hg.upf
ATOMIC_POSITIONS angstrom
Ca 0.0000 0.0000 0.0000
Nd 3.7152 3.7152 3.7152
Si 1.8576 1.8576 1.8576
Hg 5.5728 5.5728 5.5728
CELL_PARAMETERS angstrom
0.0000 3.7152 3.7152
3.7152 0.0000 3.7152
3.7152 3.7152 0.0000
```

---

Entry 2:
Material: Nb3IrRh3
Method: DFT, PBE
State: optimized geometry Values from VASP.

Results
Symmetry: P6_3/m (176)
Crystal system: hexagonal
DFT total energy (eV/f.u.): -63.989

Structure (Quantum ESPRESSO input):
```
&SYSTEM
  ibrav = 0, nat = 14, ntyp = 3
/
ATOMIC_SPECIES
Nb 92.91 Nb.upf
Ir 192.22 Ir.upf
Rh 102.91 Rh.upf
ATOMIC_POSITIONS angstrom
Nb -1.7655 4.1403 1.1346
Nb 1.0596 2.9177 1.1346
Nb 3.0566 0.5412 3.4038
Nb 0.7059 5.9755 1.1346
Nb 2.7029 3.5991 3.4038
Nb 5.5279 2.3764 3.4038
Ir 0.0000 4.3445 3.4038
Ir 3.7624 2.1722 1.1346
Rh -2.6997 5.2826 3.4038
Rh 0.5374 1.5375 3.4038
Rh 1.6002 0.3033 1.1346
Rh 2.1622 6.2134 3.4038
Rh 3.2250 4.9792 1.1346
Rh 6.4621 1.2342 1.1346
CELL_PARAMETERS angstrom
7.5249 0.0000 0.0000
-3.7624 6.5167 0.0000
0.0000 0.0000 4.5384
```

---

Entry 3:
Material: Dy2VGe
Method: DFT, PBE
State: optimized geometry Values from VASP.

Results
Symmetry: R-3m (166)
Crystal system: trigonal
DFT total energy (eV/f.u.): -21.369

Structure (Quantum ESPRESSO input):
```
&SYSTEM
  ibrav = 0, nat = 4, ntyp = 3
/
ATOMIC_SPECIES
Dy 162.50 Dy.upf
V 50.94 V.upf
Ge 72.64 Ge.upf
ATOMIC_POSITIONS angstrom
Dy 0.0000 0.0000 2.8088
Dy 0.0000 0.0000 27.3349
V 0.0000 0.0000 0.0000
Ge 0.0000 0.0000 15.0719
CELL_PARAMETERS angstrom
1.6826 0.9715 10.0479
-1.6826 0.9715 10.0479
0.0000 -1.9430 10.0479
```

---

Entry 4:
Material: BaAgPRh
Method: DFT, PBE
State: optimized geometry Values from VASP.

Results
Symmetry: P4/nmm (129)
Crystal system: tetragonal
DFT total energy (eV/f.u.): -20.200

Structure (Quantum ESPRESSO input):
```
&SYSTEM
  ibrav = 0, nat = 8, ntyp = 4
/
ATOMIC_SPECIES
Ba 137.33 Ba.upf
Ag 107.87 Ag.upf
P 30.97 P.upf
Rh 102.91 Rh.upf
ATOMIC_POSITIONS angstrom
Ba 0.9935 0.9935 2.9856
Ba 2.9806 2.9806 8.9928
Ag 0.9935 2.9806 0.0000
Ag 2.9806 0.9935 0.0000
P 0.9935 0.9935 7.3112
P 2.9806 2.9806 4.6672
Rh 0.9935 2.9806 5.9892
Rh 2.9806 0.9935 5.9892
CELL_PARAMETERS angstrom
3.9742 0.0000 0.0000
0.0000 3.9742 0.0000
0.0000 0.0000 11.9783
```

---

- What is the formula in the third record?
  Dy2VGe